1.
Computed, not measured: a geometry-optimized Tb2Y4Ho5 structure at the PBE-GGA level of DFT. Values from VASP.

Geometry as Quantum ESPRESSO input:
```
&SYSTEM
  ibrav = 0, nat = 11, ntyp = 3
/
ATOMIC_SPECIES
Tb 158.93 Tb.upf
Y 88.91 Y.upf
Ho 164.93 Ho.upf
CELL_PARAMETERS angstrom
5.525 -3.647 0.000
5.525 3.647 0.000
-2.789 0.000 8.816
ATOMIC_POSITIONS crystal
Tb 0.146 0.146 0.122
Tb 0.854 0.854 0.878
Y 0.321 0.321 0.500
Y 0.328 0.328 0.876
Y 0.672 0.672 0.124
Y 0.679 0.679 0.500
Ho 0.000 0.000 0.500
Ho 0.211 0.654 0.219
Ho 0.346 0.789 0.781
Ho 0.654 0.211 0.219
Ho 0.789 0.346 0.781
```

Output
* raw total energy: -5.15 eV per atom
* size of the total moment: 0.00 μB per cell
* formation energy: 127 meV per atom

2.
Computed, not measured: a geometry-optimized Tb8Y3Ho2 structure at the PBE-GGA level of DFT. Values from VASP.

Geometry as Quantum ESPRESSO input:
```
&SYSTEM
  ibrav = 0, nat = 13, ntyp = 3
/
ATOMIC_SPECIES
Tb 158.93 Tb.upf
Y 88.91 Y.upf
Ho 164.93 Ho.upf
CELL_PARAMETERS angstrom
10.093 -3.821 0.000
10.093 3.821 0.000
-0.003 0.000 5.628
ATOMIC_POSITIONS crystal
Tb 0.102 0.682 0.000
Tb 0.169 0.169 0.501
Tb 0.318 0.898 0.000
Tb 0.366 0.366 0.500
Tb 0.634 0.634 0.500
Tb 0.682 0.102 0.000
Tb 0.831 0.831 0.499
Tb 0.898 0.318 0.000
Y 0.215 0.785 0.500
Y 0.500 0.500 0.000
Y 0.785 0.215 0.500
Ho 0.259 0.259 0.001
Ho 0.741 0.741 0.999
```

Output
* raw total energy: -4.82 eV per atom
* size of the total moment: 0.00 μB per cell
* formation energy: 230 meV per atom

3.
Computed, not measured: a geometry-optimized Tb2Y7Ho2 structure at the PBE-GGA level of DFT. Values from VASP.

Geometry as Quantum ESPRESSO input:
```
&SYSTEM
  ibrav = 0, nat = 11, ntyp = 3
/
ATOMIC_SPECIES
Tb 158.93 Tb.upf
Y 88.91 Y.upf
Ho 164.93 Ho.upf
CELL_PARAMETERS angstrom
-2.764 7.948 4.076
2.764 -7.948 4.076
2.764 7.948 -4.076
ATOMIC_POSITIONS crystal
Tb 0.201 0.000 0.201
Tb 0.799 0.000 0.799
Y 0.069 0.708 0.361
Y 0.201 0.201 0.000
Y 0.338 0.499 0.839
Y 0.347 0.708 0.639
Y 0.655 0.292 0.363
Y 0.659 0.499 0.161
Y 0.930 0.292 0.637
Ho 0.499 0.999 0.500
Ho 0.789 0.789 0.000
```

Output
* raw total energy: -5.67 eV per atom
* size of the total moment: 0.00 μB per cell
* formation energy: 113 meV per atom

4.
Computed, not measured: a geometry-optimized TbY2Ho structure at the PBE-GGA level of DFT. Values from VASP.

Geometry as Quantum ESPRESSO input:
```
&SYSTEM
  ibrav = 0, nat = 4, ntyp = 3
/
ATOMIC_SPECIES
Tb 158.93 Tb.upf
Y 88.91 Y.upf
Ho 164.93 Ho.upf
CELL_PARAMETERS angstrom
3.637 0.000 0.000
-0.003 6.290 0.000
-1.817 -3.145 5.653
ATOMIC_POSITIONS crystal
Tb 0.000 0.000 0.000
Y 0.502 0.503 0.004
Y 0.749 0.417 0.501
Ho 0.250 0.919 0.503
```

Output
* raw total energy: -5.53 eV per atom
* size of the total moment: 0.00 μB per cell
* formation energy: 4 meV per atom

5.
Computed, not measured: a geometry-optimized Tb5Y2Ho12 structure at the PBE-GGA level of DFT. Values from VASP.

Geometry as Quantum ESPRESSO input:
```
&SYSTEM
  ibrav = 0, nat = 19, ntyp = 3
/
ATOMIC_SPECIES
Tb 158.93 Tb.upf
Y 88.91 Y.upf
Ho 164.93 Ho.upf
CELL_PARAMETERS angstrom
7.779 -4.608 0.000
7.779 4.608 0.000
-0.236 0.000 8.531
ATOMIC_POSITIONS crystal
Tb 0.000 0.000 0.000
Tb 0.231 0.231 0.072
Tb 0.297 0.297 0.483
Tb 0.703 0.703 0.517
Tb 0.769 0.769 0.928
Y 0.324 0.676 0.500
Y 0.676 0.324 0.500
Ho 0.029 0.669 0.259
Ho 0.082 0.082 0.378
Ho 0.180 0.563 0.835
Ho 0.331 0.971 0.741
Ho 0.437 0.820 0.165
Ho 0.442 0.442 0.164
Ho 0.558 0.558 0.836
Ho 0.563 0.180 0.835
Ho 0.669 0.029 0.259
Ho 0.820 0.437 0.165
Ho 0.918 0.918 0.622
Ho 0.971 0.331 0.741
```

Output
* raw total energy: -4.66 eV per atom
* size of the total moment: 0.00 μB per cell
* formation energy: 131 meV per atom

6.
Computed, not measured: a geometry-optimized TbY8Ho6 structure at the PBE-GGA level of DFT. Values from VASP.

Geometry as Quantum ESPRESSO input:
```
&SYSTEM
  ibrav = 0, nat = 15, ntyp = 3
/
ATOMIC_SPECIES
Tb 158.93 Tb.upf
Y 88.91 Y.upf
Ho 164.93 Ho.upf
CELL_PARAMETERS angstrom
9.369 0.000 0.000
-4.685 8.114 0.000
0.000 0.000 6.571
ATOMIC_POSITIONS crystal
Tb 0.000 0.000 0.000
Y 0.026 0.335 0.397
Y 0.310 0.974 0.397
Y 0.333 0.667 0.676
Y 0.335 0.310 0.603
Y 0.665 0.690 0.397
Y 0.667 0.333 0.324
Y 0.690 0.026 0.603
Y 0.974 0.665 0.603
Ho 0.088 0.678 0.094
Ho 0.322 0.410 0.094
Ho 0.410 0.088 0.906
Ho 0.590 0.912 0.094
Ho 0.678 0.590 0.906
Ho 0.912 0.322 0.906
```

Output
* raw total energy: -5.34 eV per atom
* size of the total moment: 0.00 μB per cell
* formation energy: 247 meV per atom

7.
Computed, not measured: a geometry-optimized TbY6Ho4 structure at the PBE-GGA level of DFT. Values from VASP.

Geometry as Quantum ESPRESSO input:
```
&SYSTEM
  ibrav = 0, nat = 11, ntyp = 3
/
ATOMIC_SPECIES
Tb 158.93 Tb.upf
Y 88.91 Y.upf
Ho 164.93 Ho.upf
CELL_PARAMETERS angstrom
-3.748 3.748 6.691
3.748 -3.748 6.691
3.748 3.748 -6.691
ATOMIC_POSITIONS crystal
Tb 0.000 0.000 0.000
Y 0.000 0.500 0.500
Y 0.047 0.580 0.000
Y 0.420 0.420 0.467
Y 0.500 0.000 0.500
Y 0.580 0.047 0.000
Y 0.953 0.953 0.533
Ho 0.258 0.258 0.673
Ho 0.416 0.742 0.000
Ho 0.584 0.584 0.327
Ho 0.742 0.416 0.000
```

Output
* raw total energy: -5.18 eV per atom
* size of the total moment: 0.00 μB per cell
* formation energy: 430 meV per atom

8.
Computed, not measured: a geometry-optimized Tb7Y2Ho3 structure at the PBE-GGA level of DFT. Values from VASP.

Geometry as Quantum ESPRESSO input:
```
&SYSTEM
  ibrav = 0, nat = 12, ntyp = 3
/
ATOMIC_SPECIES
Tb 158.93 Tb.upf
Y 88.91 Y.upf
Ho 164.93 Ho.upf
CELL_PARAMETERS angstrom
5.781 0.000 0.000
0.000 3.569 0.000
-1.182 0.000 18.667
ATOMIC_POSITIONS crystal
Tb 0.000 0.000 0.000
Tb 0.185 0.500 0.179
Tb 0.258 0.500 0.536
Tb 0.318 0.000 0.857
Tb 0.682 0.000 0.143
Tb 0.742 0.500 0.464
Tb 0.815 0.500 0.821
Y 0.291 0.500 0.705
Y 0.709 0.500 0.295
Ho 0.222 0.000 0.369
Ho 0.500 0.500 0.000
Ho 0.778 0.000 0.631
```

Output
* raw total energy: -4.83 eV per atom
* size of the total moment: 0.00 μB per cell
* formation energy: 90 meV per atom

9.
Computed, not measured: a geometry-optimized TbY3Ho2 structure at the PBE-GGA level of DFT. Values from VASP.

Geometry as Quantum ESPRESSO input:
```
&SYSTEM
  ibrav = 0, nat = 12, ntyp = 3
/
ATOMIC_SPECIES
Tb 158.93 Tb.upf
Y 88.91 Y.upf
Ho 164.93 Ho.upf
CELL_PARAMETERS angstrom
8.710 -3.554 0.000
8.710 3.554 0.000
-0.005 0.000 6.149
ATOMIC_POSITIONS crystal
Tb 0.125 0.875 0.750
Tb 0.875 0.125 0.250
Y 0.042 0.292 0.917
Y 0.292 0.042 0.417
Y 0.375 0.625 0.250
Y 0.625 0.375 0.750
Y 0.708 0.958 0.583
Y 0.958 0.708 0.083
Ho 0.208 0.458 0.583
Ho 0.458 0.208 0.083
Ho 0.542 0.792 0.917
Ho 0.792 0.542 0.417
```

Output
* raw total energy: -5.51 eV per atom
* size of the total moment: 0.00 μB per cell
* formation energy: 23 meV per atom

10.
Computed, not measured: a geometry-optimized TbY5Ho3 structure at the PBE-GGA level of DFT. Values from VASP.

Geometry as Quantum ESPRESSO input:
```
&SYSTEM
  ibrav = 0, nat = 18, ntyp = 3
/
ATOMIC_SPECIES
Tb 158.93 Tb.upf
Y 88.91 Y.upf
Ho 164.93 Ho.upf
CELL_PARAMETERS angstrom
9.714 0.000 0.000
-4.857 8.412 0.000
0.000 0.000 7.020
ATOMIC_POSITIONS crystal
Tb 0.000 0.000 0.000
Tb 0.000 0.000 0.500
Y 0.000 0.309 0.250
Y 0.000 0.691 0.750
Y 0.309 0.000 0.250
Y 0.309 0.309 0.750
Y 0.333 0.667 0.000
Y 0.333 0.667 0.500
Y 0.667 0.333 0.000
Y 0.667 0.333 0.500
Y 0.691 0.000 0.750
Y 0.691 0.691 0.250
Ho 0.000 0.357 0.750
Ho 0.000 0.643 0.250
Ho 0.357 0.000 0.750
Ho 0.357 0.357 0.250
Ho 0.643 0.000 0.250
Ho 0.643 0.643 0.750
```

Output
* raw total energy: -5.57 eV per atom
* size of the total moment: 0.00 μB per cell
* formation energy: 59 meV per atom